Record 1
# VCo2MoH PBE optimized geometry
data_VCo2MoH
_symmetry_space_group_name_H-M 'P 4/m m m'
_symmetry_Int_Tables_number 123
_symmetry_space_group_name_Hall '-P 4 2'
_cell_length_a 3.6397
_cell_length_b 3.6397
_cell_length_c 3.8462
_cell_angle_alpha 90.00
_cell_angle_beta 90.00
_cell_angle_gamma 90.00
loop_
_atom_site_label
_atom_site_type_symbol
_atom_site_fract_x
_atom_site_fract_y
_atom_site_fract_z
V1 V 0.0000 0.0000 0.0000
Co1 Co 0.0000 0.5000 0.5000
Mo1 Mo 0.5000 0.5000 0.0000
H1 H 0.0000 0.0000 0.5000
# Calculated volume ... 51 Å³/cell
# Distance to the lowest polymorph of the same formula ... 0 meV/atom

=====

Record 2
# PmAl4Zn2 PBE optimized geometry
data_PmAl4Zn2
_symmetry_space_group_name_H-M 'C m m m'
_symmetry_Int_Tables_number 65
_symmetry_space_group_name_Hall '-C 2 2'
_cell_length_a 4.2218
_cell_length_b 14.6327
_cell_length_c 4.2001
_cell_angle_alpha 90.00
_cell_angle_beta 90.00
_cell_angle_gamma 90.00
loop_
_atom_site_label
_atom_site_type_symbol
_atom_site_fract_x
_atom_site_fract_y
_atom_site_fract_z
Pm1 Pm 0.0000 0.0000 0.0000
Al1 Al 0.0000 0.1842 0.5000
Al2 Al 0.0000 0.3141 0.0000
Zn1 Zn 0.0000 0.4169 0.5000
# Formation energy from the elements ... -0.24 eV/atom
# Calculated volume ... 259 Å³/cell

=====

Record 3
# CsRb2Al3F12 PBE optimized geometry
data_CsRb2Al3F12
_symmetry_space_group_name_H-M 'R -3 m'
_symmetry_Int_Tables_number 166
_symmetry_space_group_name_Hall '-R 3 2"'
_cell_length_a 7.1875
_cell_length_b 7.1875
_cell_length_c 19.2055
_cell_angle_alpha 90.00
_cell_angle_beta 90.00
_cell_angle_gamma 120.00
loop_
_atom_site_label
_atom_site_type_symbol
_atom_site_fract_x
_atom_site_fract_y
_atom_site_fract_z
Cs1 Cs 0.0000 0.0000 0.0000
Rb1 Rb 0.0000 0.0000 0.3748
Al1 Al 0.0000 0.5000 0.5000
F1 F 0.0566 0.5283 0.4099
F2 F 0.0836 0.5418 0.8186
# Calculated volume ... 859 Å³/cell
# Formation energy without anion corrections ... -59.925 eV/f.u.

=====

Record 4
# CaUO4 PBE optimized geometry
data_CaUO4
_symmetry_space_group_name_H-M 'R -3 m'
_symmetry_Int_Tables_number 166
_symmetry_space_group_name_Hall '-R 3 2"'
_cell_length_a 3.8992
_cell_length_b 3.8992
_cell_length_c 17.8115
_cell_angle_alpha 90.00
_cell_angle_beta 90.00
_cell_angle_gamma 120.00
loop_
_atom_site_label
_atom_site_type_symbol
_atom_site_fract_x
_atom_site_fract_y
_atom_site_fract_z
Ca1 Ca 0.0000 0.0000 0.0000
U1 U 0.0000 0.0000 0.5000
O1 O 0.0000 0.0000 0.1378
O2 O 0.0000 0.0000 0.3886
# Calculated volume ... 235 Å³/cell
# Formation energy without anion corrections ... -19.370 eV/f.u.

=====

Record 5
# Pm4NiPt2 PBE optimized geometry
data_Pm4NiPt2
_symmetry_space_group_name_H-M 'I 4/m m m'
_symmetry_Int_Tables_number 139
_symmetry_space_group_name_Hall '-I 4 2'
_cell_length_a 5.1343
_cell_length_b 5.1343
_cell_length_c 14.5938
_cell_angle_alpha 90.00
_cell_angle_beta 90.00
_cell_angle_gamma 90.00
loop_
_atom_site_label
_atom_site_type_symbol
_atom_site_fract_x
_atom_site_fract_y
_atom_site_fract_z
Pm1 Pm 0.0000 0.0000 0.1925
Pm2 Pm 0.0000 0.5000 0.0000
Ni1 Ni 0.0000 0.0000 0.0000
Pt1 Pt 0.0000 0.0000 0.3813
# Formation energy from the elements ... -0.47 eV/atom
# Calculated volume ... 385 Å³/cell
# Distance to the lowest polymorph of the same formula ... 243 meV/atom

=====

Record 6
# Ho2Er2Pu PBE optimized geometry
data_Ho2Er2Pu
_symmetry_space_group_name_H-M 'I b a m'
_symmetry_Int_Tables_number 72
_symmetry_space_group_name_Hall '-I 2 2c'
_cell_length_a 6.6425
_cell_length_b 15.2862
_cell_length_c 5.8899
_cell_angle_alpha 90.00
_cell_angle_beta 90.00
_cell_angle_gamma 90.00
loop_
_atom_site_label
_atom_site_type_symbol
_atom_site_fract_x
_atom_site_fract_y
_atom_site_fract_z
Ho1 Ho 0.1550 0.1897 0.0000
Er1 Er 0.1305 0.4117 0.0000
Pu1 Pu 0.0000 0.0000 0.2500
# Formation energy from the elements ... 0.10 eV/atom
# Calculated volume ... 598 Å³/cell

=====

Record 7
# Hf2NiPt PBE optimized geometry
data_Hf2NiPt
_symmetry_space_group_name_H-M 'P 1 21/m 1'
_symmetry_Int_Tables_number 11
_cell_length_a 5.3287
_cell_length_b 4.2050
_cell_length_c 6.6585
_cell_angle_alpha 90.00
_cell_angle_beta 108.52
_cell_angle_gamma 90.00
loop_
_symmetry_equiv_pos_as_xyz
'x,y,z'
'-x,-y,-z'
'-x,y+1/2,-z'
'x,-y+1/2,z'
loop_
_atom_site_label
_atom_site_type_symbol
_atom_site_fract_x
_atom_site_fract_y
_atom_site_fract_z
Hf1 Hf 0.2088 0.2500 0.4314
Hf2 Hf 0.2218 0.2500 0.9262
Ni1 Ni 0.3203 0.7500 0.7013
Pt1 Pt 0.3275 0.7500 0.2098
# Formation energy from the elements ... -0.84 eV/atom
# Calculated volume ... 141 Å³/cell

=====

Record 8
# Ta5Mo3 PBE optimized geometry
data_Ta5Mo3
_symmetry_space_group_name_H-M 'P 4 m m'
_symmetry_Int_Tables_number 99
_cell_length_a 3.2372
_cell_length_b 3.2372
_cell_length_c 13.1516
_cell_angle_alpha 90.00
_cell_angle_beta 90.00
_cell_angle_gamma 90.00
loop_
_symmetry_equiv_pos_as_xyz
'x,y,z'
'-y,x,z'
'-x,-y,z'
'y,-x,z'
'-x,y,z'
'y,x,z'
'x,-y,z'
'-y,-x,z'
loop_
_atom_site_label
_atom_site_type_symbol
_atom_site_fract_x
_atom_site_fract_y
_atom_site_fract_z
Ta1 Ta 0.0000 0.0000 0.0000
Ta2 Ta 0.0000 0.0000 0.2420
Ta3 Ta 0.0000 0.0000 0.7382
Ta4 Ta 0.5000 0.5000 0.6080
Ta5 Ta 0.5000 0.5000 0.8671
Mo1 Mo 0.0000 0.0000 0.4836
Mo2 Mo 0.5000 0.5000 0.1204
Mo3 Mo 0.5000 0.5000 0.3683
# Formation energy from the elements ... -0.11 eV/atom
# Calculated volume ... 138 Å³/cell
# Distance to the lowest polymorph of the same formula ... 59 meV/atom

=====

Record 9
# Ta2NbIr5Rh PBE optimized geometry
data_Ta2NbIr5Rh
_symmetry_space_group_name_H-M 'I 4/m c m'
_symmetry_Int_Tables_number 140
_symmetry_space_group_name_Hall '-I 4 2c'
_cell_length_a 7.4591
_cell_length_b 7.4591
_cell_length_c 11.0221
_cell_angle_alpha 90.00
_cell_angle_beta 90.00
_cell_angle_gamma 90.00
loop_
_atom_site_label
_atom_site_type_symbol
_atom_site_fract_x
_atom_site_fract_y
_atom_site_fract_z
Ta1 Ta 0.1189 0.3811 0.0000
Nb1 Nb 0.0000 0.0000 0.2500
Ir1 Ir 0.0000 0.0000 0.0000
Ir2 Ir 0.2021 0.2979 0.3664
Rh1 Rh 0.0000 0.5000 0.2500
# Formation energy from the elements ... 0.21 eV/atom
# Calculated volume ... 613 Å³/cell

=====

Record 10
# HoGeHRh2 PBE optimized geometry
data_HoGeHRh2
_symmetry_space_group_name_H-M 'C m c m'
_symmetry_Int_Tables_number 63
_symmetry_space_group_name_Hall '-C 2c 2'
_cell_length_a 3.6321
_cell_length_b 10.9890
_cell_length_c 7.3803
_cell_angle_alpha 90.00
_cell_angle_beta 90.00
_cell_angle_gamma 90.00
loop_
_atom_site_label
_atom_site_type_symbol
_atom_site_fract_x
_atom_site_fract_y
_atom_site_fract_z
Ho1 Ho 0.0000 0.0411 0.2500
Ge1 Ge 0.0000 0.2370 0.7500
H1 H 0.0000 0.5000 0.0000
Rh1 Rh 0.0000 0.3492 0.0531
# Calculated volume ... 295 Å³/cell
# Raw total energy ... -6.206 eV per atom

=====

The highest calculated volume belongs to which entry? CsRb2Al3F12

=====

Number 7 is which compound? Hf2NiPt

=====

Which value of calculated volume does entry 8 give? 138 Å³/cell